No. 1
# LiPm2Ir, relaxed, DFT PBE
data_LiPm2Ir
_space_group_name_H-M_alt 'P 1'
_space_group_IT_number 1
_cell_length_a 8.383
_cell_length_b 8.383
_cell_length_c 8.383
_cell_angle_alpha 28.94
_cell_angle_beta 28.94
_cell_angle_gamma 28.94
loop_
_space_group_symop_operation_xyz
'x,y,z'
loop_
_atom_site_label
_atom_site_type_symbol
_atom_site_fract_x
_atom_site_fract_y
_atom_site_fract_z
_atom_site_occupancy
Li1 Li 0.000 0.000 0.000 1
Pm1 Pm 0.556 0.556 0.556 1
Pm2 Pm 0.769 0.769 0.769 1
Ir1 Ir 0.162 0.162 0.162 1
# **Space-group type**: R3m, No. 160
# **D(E_F)**: 0.5339 states/eV/atom
# **ΔH_f (0 K)**: -0.322 eV/atom



No. 2
# LiPmIrPt, relaxed, DFT PBE
data_LiPmIrPt
_space_group_name_H-M_alt 'P 1'
_space_group_IT_number 1
_cell_length_a 4.708
_cell_length_b 4.708
_cell_length_c 4.708
_cell_angle_alpha 60.00
_cell_angle_beta 60.00
_cell_angle_gamma 60.00
loop_
_space_group_symop_operation_xyz
'x,y,z'
loop_
_atom_site_label
_atom_site_type_symbol
_atom_site_fract_x
_atom_site_fract_y
_atom_site_fract_z
_atom_site_occupancy
Li1 Li 0.000 0.000 0.000 1
Pm1 Pm 0.500 0.500 0.500 1
Ir1 Ir 0.250 0.250 0.250 1
Pt1 Pt 0.750 0.750 0.750 1
# **Space-group type**: F-43m, No. 216
# **D(E_F)**: 0.3988 states/eV/atom
# **ΔH_f (0 K)**: -0.454 eV/atom



| no. | total magnetization (μB per cell) |
| --- | --- |
| 1 | 0.00 |
| 2 | 0.00 |